Below is a crystal of BaSb2Se relaxed with PBEsol, with properties calculated at the SCAN level.

## Properties
Uncorrected formation energy in eV/atom: -0.70
Calculated density in kg/m³: 6513

Cell and atoms, written as CIF:
```
data_BaSb2Se
_space_group_name_H-M_alt 'I 4/m m m'
_space_group_IT_number 139
_space_group_name_Hall '-I 4 2'
_cell_length_a 4.445
_cell_length_b 4.445
_cell_length_c 11.869
_cell_angle_alpha 90.00
_cell_angle_beta 90.00
_cell_angle_gamma 90.00
loop_
_atom_site_label
_atom_site_type_symbol
_atom_site_fract_x
_atom_site_fract_y
_atom_site_fract_z
Ba1 Ba 0.000 0.000 0.000
Sb1 Sb 0.000 0.500 0.250
Se1 Se 0.000 0.000 0.500
```

Below is a crystal of BaSb2Se relaxed with PBEsol, with properties calculated at the SCAN level.

## Properties
Uncorrected formation energy in eV/atom: -0.88
Calculated density in kg/m³: 5489

Cell and atoms, written as CIF:
```
data_BaSb2Se
_space_group_name_H-M_alt 'P 4 m m'
_space_group_IT_number 99
_cell_length_a 4.446
_cell_length_b 4.446
_cell_length_c 7.037
_cell_angle_alpha 90.00
_cell_angle_beta 90.00
_cell_angle_gamma 90.00
loop_
_space_group_symop_operation_xyz
'x,y,z'
'-y,x,z'
'-x,-y,z'
'y,-x,z'
'-x,y,z'
'y,x,z'
'x,-y,z'
'-y,-x,z'
loop_
_atom_site_label
_atom_site_type_symbol
_atom_site_fract_x
_atom_site_fract_y
_atom_site_fract_z
Ba1 Ba 0.000 0.000 0.000
Sb1 Sb 0.000 0.000 0.503
Sb2 Sb 0.500 0.500 0.562
Se1 Se 0.500 0.500 0.944
```

Below is a crystal of Ba4Sb4Se11 relaxed with PBEsol, with properties calculated at the SCAN level.

## Properties
Uncorrected formation energy in eV/atom: -1.16
Calculated density in kg/m³: 5665

Cell and atoms, written as CIF:
```
data_Ba4Sb4Se11
_space_group_name_H-M_alt 'P n n m'
_space_group_IT_number 58
_cell_length_a 8.873
_cell_length_b 27.641
_cell_length_c 9.108
_cell_angle_alpha 90.00
_cell_angle_beta 90.00
_cell_angle_gamma 90.00
loop_
_space_group_symop_operation_xyz
'x,y,z'
'-x,-y,-z'
'-x,-y,z'
'x,y,-z'
'x+1/2,-y+1/2,-z+1/2'
'-x+1/2,y+1/2,z+1/2'
'-x+1/2,y+1/2,-z+1/2'
'x+1/2,-y+1/2,z+1/2'
loop_
_atom_site_label
_atom_site_type_symbol
_atom_site_fract_x
_atom_site_fract_y
_atom_site_fract_z
Ba1 Ba 0.063 0.209 0.248
Ba2 Ba 0.156 0.559 0.247
Sb1 Sb 0.043 0.929 0.000
Sb2 Sb 0.087 0.935 0.500
Sb3 Sb 0.122 0.343 0.500
Sb4 Sb 0.136 0.340 0.000
Se1 Se 0.000 0.000 0.295
Se2 Se 0.046 0.675 0.224
Se3 Se 0.101 0.471 0.500
Se4 Se 0.102 0.469 0.000
Se5 Se 0.151 0.120 0.500
Se6 Se 0.187 0.885 0.211
Se7 Se 0.194 0.126 0.000
Se8 Se 0.210 0.760 0.500
Se9 Se 0.227 0.764 0.000
```

Below is a crystal of Ba3SbSe relaxed with PBEsol, with properties calculated at the SCAN level.

## Properties
Uncorrected formation energy in eV/atom: -1.14
Calculated density in kg/m³: 4624

Cell and atoms, written as CIF:
```
data_Ba3SbSe
_space_group_name_H-M_alt 'P m -3 m'
_space_group_IT_number 221
_space_group_name_Hall '-P 4 2 3'
_cell_length_a 6.037
_cell_length_b 6.037
_cell_length_c 6.037
_cell_angle_alpha 90.00
_cell_angle_beta 90.00
_cell_angle_gamma 90.00
loop_
_atom_site_label
_atom_site_type_symbol
_atom_site_fract_x
_atom_site_fract_y
_atom_site_fract_z
Ba1 Ba 0.000 0.000 0.500
Sb1 Sb 0.500 0.500 0.500
Se1 Se 0.000 0.000 0.000
```